Record 1
Below is Ba2NaAg after structural relaxation, with properties calculated at the PBE-GGA level.

Results
- Calculated density: 3968 kg/m³
- Energy of formation from the pure elements: -12.7 kJ/mol of atoms
- Density of states at the Fermi level: 0.8206 states/eV/atom
- E above lowest polymorph: 0.00 eV per formula unit

The structure in POSCAR format:
```
Ba2NaAg
1.0
4.178 0.000 0.000
0.000 4.178 0.000
0.000 0.000 9.723
Ba Na Ag
2 1 1
Cartesian
0.000 0.000 1.956
0.000 0.000 7.767
2.089 2.089 4.861
2.089 2.089 0.000
```

Record 2
Below is Ba3Na2Ag3 after structural relaxation, with properties calculated at the PBE-GGA level.

Results
- Calculated density: 4435 kg/m³
- Energy of formation from the pure elements: -15.3 kJ/mol of atoms
- Density of states at the Fermi level: 0.6436 states/eV/atom

The structure in POSCAR format:
```
Ba3Na2Ag3
1.0
10.008 0.000 0.000
-5.004 8.667 0.000
0.000 0.000 6.747
Ba Na Ag
6 4 6
Cartesian
-1.395 2.416 1.687
-3.609 6.251 5.060
2.790 0.000 1.687
1.395 2.416 5.060
7.218 0.000 5.060
3.609 6.251 1.687
0.000 5.778 0.000
0.000 5.778 3.373
5.004 2.889 0.000
5.004 2.889 3.373
-1.938 3.357 5.060
-3.066 5.310 1.687
3.876 0.000 5.060
1.938 3.357 1.687
6.132 0.000 1.687
3.066 5.310 5.060
```

Values of uncorrected energy, in order: -2.14 -2.28, all in eV/atom.